## one
4
Lattice="-3.292 -0.781 3.813 -2.803 -4.257 0.116 0.956 -3.587 3.499" Properties=species:S:1:pos:R:3 comment="PBE-GGA CeHo2Tc, relaxed" crystal_system=cubic magnetic_moment_mub_per_cell=0.02 pbc="T T T"
Ho -1.286 -2.156 1.856
Tc 0.000 0.000 0.000
Ho -3.853 -6.470 5.571
Ce -2.569 -4.313 3.714

=====

## two
8
Lattice="-3.502 -1.130 -1.073 3.445 0.683 -5.116 2.732 -9.066 0.628" Properties=species:S:1:pos:R:3 comment="PBE-GGA CeHo2Tc, relaxed" crystal_system=orthorhombic magnetic_moment_mub_per_cell=0.00 pbc="T T T"
Tc 2.800 -6.747 -2.035
Tc -0.125 -2.765 -3.525
Ho 1.655 -3.850 -1.348
Ce 0.581 -7.344 -1.009
Ho 1.995 -8.897 -3.988
Ho 1.020 -5.662 -4.213
Ce 2.094 -2.168 -4.552
Ho 0.680 -0.615 -1.572

=====

What should be chosen as the least stable of them? Choose one.

=====

## one
4
Lattice="-3.060 0.107 -2.243 2.488 -2.848 -0.318 -5.783 -3.383 7.727" Properties=species:S:1:pos:R:3 comment="PBE-GGA CeHo2Te, relaxed" crystal_system=trigonal magnetic_moment_mub_per_cell=1.22 pbc="T T T"
Te -2.681 -4.439 2.662
Ce 1.741 -2.801 -0.079
Ho -4.429 -3.708 5.082
Ho -3.420 -2.322 0.561

=====

## two
4
Lattice="-0.057 1.087 3.616 -3.098 -0.549 2.088 2.647 -9.456 4.857" Properties=species:S:1:pos:R:3 comment="PBE-GGA CeHo2Te, relaxed" crystal_system=trigonal magnetic_moment_mub_per_cell=2.58 pbc="T T T"
Ho -2.027 -2.397 6.604
Ce 0.000 0.000 0.000
Ho 1.520 -6.520 3.956
Te -0.254 -4.459 5.280

=====

## three
4
Lattice="-3.573 0.715 1.176 -2.928 -0.358 -2.442 -3.205 -9.412 2.221" Properties=species:S:1:pos:R:3 comment="PBE-GGA CeHo2Te, relaxed" crystal_system=trigonal magnetic_moment_mub_per_cell=1.90 pbc="T T T"
Ho -2.389 -1.920 0.144
Ho -2.982 -7.366 1.654
Ce -4.854 -4.537 0.480
Te -7.539 -9.172 1.377

=====

What should be chosen as the least stable of them? Choose two.

=====

## one
4
Lattice="4.660 0.000 0.000 0.000 4.816 0.000 0.000 0.000 4.816" Properties=species:S:1:pos:R:3 comment="PBE-GGA CeHo2Te, relaxed" crystal_system=tetragonal magnetic_moment_mub_per_cell=0.73 pbc="T T T"
Ho 0.000 2.408 0.000
Ho 0.000 0.000 2.408
Te 2.330 0.000 0.000
Ce 2.330 2.408 2.408

=====

## two
4
Lattice="3.825 0.000 0.000 0.000 3.825 0.000 0.000 0.000 7.843" Properties=species:S:1:pos:R:3 comment="PBE-GGA CeHo2Te, relaxed" crystal_system=tetragonal magnetic_moment_mub_per_cell=0.58 pbc="T T T"
Ho 0.000 0.000 6.079
Ce 1.912 1.912 3.922
Ho 0.000 0.000 1.764
Te 1.912 1.912 0.000

=====

What should be chosen as the least stable of them? Choose one.

=====

## one
14
Lattice="-2.166 -2.968 2.281 -0.373 -2.081 -7.162 12.566 -7.907 1.642" Properties=species:S:1:pos:R:3 comment="PBE-GGA CeHo2Te4, relaxed" crystal_system=orthorhombic magnetic_moment_mub_per_cell=2.74 pbc="T T T"
Ho 0.442 -1.463 -1.483
Ce 7.988 -8.279 0.911
Te -0.364 -4.392 -1.962
Ce 2.038 -4.677 -4.151
Te 3.011 -2.296 -0.128
Te 2.885 -6.437 -1.537
Te 10.391 -8.564 -1.278
Ho 5.071 -4.375 -0.878
Te 7.141 -6.519 -1.703
Ho 4.956 -8.581 -2.361
Te 5.200 -5.438 1.961
Te -1.083 -1.484 1.140
Te 7.015 -10.660 -3.112
Ho 9.584 -11.493 -1.756

=====

## two
14
Lattice="7.901 0.000 -2.979 -3.879 6.985 -2.732 -0.144 0.000 8.443" Properties=species:S:1:pos:R:3 comment="PBE-GGA CeHo2Te4, relaxed" crystal_system=tetragonal magnetic_moment_mub_per_cell=2.98 pbc="T T T"
Ce 3.950 3.493 -1.490
Te 3.248 1.168 0.549
Ho 1.987 1.892 3.357
Te 0.705 2.071 6.197
Ce 0.000 0.000 0.000
Te 2.122 5.564 0.066
Te 4.656 1.421 4.707
Te -2.268 5.818 0.141
Ho -0.120 5.385 2.230
Te -2.340 4.660 4.363
Te -0.703 2.325 2.038
Te 2.050 4.914 4.288
Ho 5.938 1.601 1.868
Ho -0.048 5.093 -1.991

=====

What should be chosen as the least stable of them? Choose two.

=====

## one
14
Lattice="-7.321 2.744 -4.114 -5.583 -5.863 -3.461 -7.880 -1.191 3.742" Properties=species:S:1:pos:R:3 comment="PBE-GGA Ce2HoTe4, relaxed" crystal_system=orthorhombic magnetic_moment_mub_per_cell=4.52 pbc="T T T"
Te -5.115 -1.016 -1.061
Te -11.577 -2.614 -4.739
Te -12.777 -0.358 -1.101
Ce -7.600 0.777 -0.186
Ho -6.452 -1.560 -3.788
Te -11.884 -4.467 -0.804
Te -15.668 -3.294 -2.772
Ce -3.940 -0.595 1.871
Te -8.900 0.158 -3.029
Ce -6.731 -3.527 0.140
Ho -2.791 -2.931 -1.731
Te -9.206 -1.696 0.906
Ce 0.000 0.000 0.000
Te -8.007 -3.952 -2.732

=====

## two
14
Lattice="-3.940 1.642 -0.096 -0.403 -6.732 -3.700 -3.262 -7.056 13.194" Properties=species:S:1:pos:R:3 comment="PBE-GGA Ce2HoTe4, relaxed" crystal_system=orthorhombic magnetic_moment_mub_per_cell=5.04 pbc="T T T"
Te -3.872 -8.712 9.897
Ce -0.870 -2.093 -0.093
Te -0.946 -2.089 3.093
Te -3.071 -6.979 6.657
Ho -5.004 -5.936 8.919
Ce -5.559 -7.510 4.738
Te -1.970 0.821 -0.048
Te -3.601 -2.707 6.549
Ce -6.735 -10.052 9.492
Te -3.733 -3.433 -0.498
Te -4.534 -5.166 2.742
Ce -2.046 -4.635 4.661
Ho -2.601 -6.210 0.480
Te -6.659 -10.057 6.306

=====

What should be chosen as the least stable of them? Choose two.

=====

## one
4
Lattice="-1.522 1.842 4.292 -4.648 -1.641 -0.944 1.080 -4.354 2.252" Properties=species:S:1:pos:R:3 comment="PBE-GGA CeHoTh2, relaxed" crystal_system=tetragonal magnetic_moment_mub_per_cell=0.49 pbc="T T T"
Th -2.324 -0.821 -0.472
Ho -2.545 -2.077 2.800
Th 0.540 -2.177 1.126
Ce -0.761 0.921 2.146

=====

## two
4
Lattice="-1.501 -2.490 -2.000 2.655 -2.201 0.749 -4.979 -3.326 7.878" Properties=species:S:1:pos:R:3 comment="PBE-GGA CeHoTh2, relaxed" crystal_system=tetragonal magnetic_moment_mub_per_cell=0.00 pbc="T T T"
Th -3.764 -2.514 5.956
Ce 0.577 -2.345 -0.625
Th -1.215 -0.811 1.922
Ho -1.912 -4.008 3.314

=====

What should be chosen as the least stable of them? Choose one.

=====

## one
4
Lattice="3.461 0.000 0.000 0.000 3.449 0.000 0.000 -1.725 10.571" Properties=species:S:1:pos:R:3 comment="PBE-GGA CeHoTh2, relaxed" crystal_system=orthorhombic magnetic_moment_mub_per_cell=0.00 pbc="T T T"
Ho 0.000 0.000 6.512
Ce 0.000 0.000 1.554
Th 1.731 0.000 9.598
Th 1.731 1.725 4.017

=====

## two
4
Lattice="-2.606 -1.643 -1.511 -1.423 -2.725 1.522 -9.388 5.979 5.794" Properties=species:S:1:pos:R:3 comment="PBE-GGA CeHoTh2, relaxed" crystal_system=trigonal magnetic_moment_mub_per_cell=0.31 pbc="T T T"
Th -7.285 4.035 4.280
Th -6.132 -2.425 1.525
Ho 0.000 0.000 0.000
Ce -6.708 0.805 2.903

=====

What should be chosen as the least stable of them? Choose two.

=====

## one
4
Lattice="5.599 0.000 0.000 2.799 4.849 0.000 2.799 1.616 4.571" Properties=species:S:1:pos:R:3 comment="PBE-GGA CeHoTh2, relaxed" crystal_system=cubic magnetic_moment_mub_per_cell=0.00 pbc="T T T"
Ce 0.000 0.000 0.000
Ho 5.599 3.232 2.286
Th 2.799 1.616 1.143
Th 8.398 4.849 3.428

=====

## two
4
Lattice="3.526 0.000 0.000 1.763 3.053 0.000 1.763 1.018 11.505" Properties=species:S:1:pos:R:3 comment="PBE-GGA CeHoTh2, relaxed" crystal_system=trigonal magnetic_moment_mub_per_cell=0.00 pbc="T T T"
Ce 3.526 2.036 5.786
Ho 5.289 3.053 11.456
Th 1.763 1.018 2.927
Th 1.763 1.018 8.593

=====

What should be chosen as the least stable of them? Choose one.